No. 1
VASP calculation (PBE-GGA) on a geometry-optimized RuPt2W structure.

Computed properties:
**Energy above the lowest structure with this stoichiometry**: 301 meV/atom
**Symmetry**: No. 123

Unit cell a=3.4003 b=3.4003 c=5.3984 alpha=90.00 beta=90.00 gamma=90.00
With the nearest neighbours (Å) after each atom.
Element x y z (fractional)
Pt (0.0000, 0.0000, 0.0008)  2 Pt 2.69-2.71, 4 Ru 2.76, 4 W 2.76
Pt (0.0000, 0.0000, 0.4992)  2 Pt 2.69-2.71, 4 Ru 2.76, 4 W 2.76
Ru (0.5000, 0.5000, 0.2500)  2 W 2.70, 8 Pt 2.76
W (0.5000, 0.5000, 0.7500)  2 Ru 2.70, 8 Pt 2.76



No. 2
VASP calculation (PBE-GGA) on a geometry-optimized La3InCo structure.

Computed properties:
**Energy above the lowest structure with this stoichiometry**: 174 meV/atom
**Symmetry**: No. 167

Unit cell a=6.4714 b=6.4714 c=6.4714 alpha=90.11 beta=90.11 gamma=90.11
With the nearest neighbours (Å) after each atom.
Element x y z (fractional)
In (0.0000, 0.0000, 0.0000)  2 Co 2.80
In (0.5000, 0.5000, 0.5000)  2 Co 2.80
Co (0.2500, 0.2500, 0.2500)  3 La 2.66, 2 In 2.80
Co (0.7500, 0.7500, 0.7500)  3 La 2.66, 2 In 2.80
La (0.9594, 0.5406, 0.2500)  1 Co 2.66
La (0.5406, 0.2500, 0.9594)  1 Co 2.66
La (0.2500, 0.9594, 0.5406)  1 Co 2.66
La (0.7500, 0.0406, 0.4594)  1 Co 2.66
La (0.4594, 0.7500, 0.0406)  1 Co 2.66
La (0.0406, 0.4594, 0.7500)  1 Co 2.66



No. 3
VASP calculation (PBE-GGA) on a geometry-optimized TaReNi2H structure.

Computed properties:
**Energy above the lowest structure with this stoichiometry**: 0 meV/atom
**Symmetry**: No. 123

Unit cell a=3.7823 b=3.7823 c=3.9494 alpha=90.00 beta=90.00 gamma=90.00
With the nearest neighbours (Å) after each atom.
Element x y z (fractional)
Re (0.0000, 0.0000, 0.5000)  2 H 1.97
Ni (0.0000, 0.5000, 0.0000)  2 H 1.89
Ni (0.5000, 0.0000, 0.0000)  2 H 1.89
H (0.0000, 0.0000, 0.0000)  4 Ni 1.89, 2 Re 1.97
Ta (0.5000, 0.5000, 0.5000)  4 Re 2.67, 8 Ni 2.73



Number 1: DFT total energy -33.9 eV/cell. Number 2: DFT total energy -50.4 eV/cell. Number 3: DFT total energy -39.8 eV/cell.